Density functional theory data (PBE) for a geometry-optimized ZrOs3 structure.

The structure in extended XYZ format:
```
8
Lattice="4.486 0.000 0.000 0.000 5.595 0.000 0.000 0.000 5.132" Properties=species:S:1:pos:R:3 pbc="T T T"
Zr 1.122 1.399 0.639
Zr 3.365 4.196 4.493
Os 1.122 2.850 3.290
Os 1.122 4.196 1.007
Os 1.122 5.542 3.290
Os 3.365 0.053 1.842
Os 3.365 1.399 4.125
Os 3.365 2.745 1.842
```

- symmetry = Pmmn
- ΔE_f (meV/atom) = -22
- size of the total moment (μB per cell) = 0.00
- energy relative to the lowest polymorph listed for this composition (meV/atom) = 0

---

Density functional theory data (PBE) for a geometry-optimized Zr2Os structure.

The structure in extended XYZ format:
```
24
Lattice="7.960 0.000 0.000 0.000 4.844 0.000 -1.085 0.000 12.191" Properties=species:S:1:pos:R:3 pbc="T T T"
Zr -0.338 1.211 5.258
Zr -0.481 3.633 9.745
Zr 0.796 3.633 0.599
Zr 0.954 3.633 3.539
Zr 0.942 1.211 10.808
Zr 1.406 1.211 7.786
Zr 2.366 3.633 6.097
Zr 2.315 3.633 11.670
Zr 4.560 1.211 0.521
Zr 4.508 1.211 6.095
Zr 5.469 3.633 4.405
Zr 5.933 3.633 1.383
Zr 5.921 1.211 8.652
Zr 6.078 1.211 11.592
Zr 7.356 1.211 2.446
Zr 7.213 3.633 6.934
Os 2.067 1.211 1.513
Os 2.192 1.211 4.392
Os 2.270 3.633 8.937
Os 3.493 3.633 2.385
Os 3.382 1.211 9.806
Os 4.605 1.211 3.254
Os 4.683 3.633 7.800
Os 4.808 3.633 10.678
```

- symmetry = P2_1/m
- ΔE_f (meV/atom) = -57
- size of the total moment (μB per cell) = 0.01

---

Density functional theory data (PBE) for a geometry-optimized ZrOs2 structure.

The structure in extended XYZ format:
```
12
Lattice="5.226 0.000 0.000 -2.613 4.526 0.000 0.000 0.000 8.605" Properties=species:S:1:pos:R:3 pbc="T T T"
Zr 0.000 3.017 0.575
Zr 0.000 3.017 3.727
Zr 2.613 1.509 4.877
Zr 2.613 1.509 8.030
Os 0.000 0.000 0.000
Os 0.000 0.000 4.302
Os 0.000 1.559 6.453
Os -1.263 3.746 6.453
Os 1.350 0.779 2.151
Os 1.263 3.746 6.453
Os 3.876 0.779 2.151
Os 2.613 2.967 2.151
```

- symmetry = P6_3/mmc
- ΔE_f (meV/atom) = -387
- size of the total moment (μB per cell) = 0.02

---

Density functional theory data (PBE) for a geometry-optimized Zr3Os structure.

The structure in extended XYZ format:
```
8
Lattice="5.964 0.000 0.000 -2.982 5.165 0.000 0.000 0.000 5.228" Properties=species:S:1:pos:R:3 pbc="T T T"
Zr 0.000 1.785 1.307
Zr -1.436 4.272 1.307
Zr 1.546 0.893 3.921
Zr 1.436 4.272 1.307
Zr 4.418 0.893 3.921
Zr 2.982 3.380 3.921
Os 0.000 3.443 3.921
Os 2.982 1.722 1.307
```

- symmetry = P6_3/mmc
- ΔE_f (meV/atom) = 0
- size of the total moment (μB per cell) = 0.05

---

Density functional theory data (PBE) for a geometry-optimized Zr3Os structure.

The structure in extended XYZ format:
```
8
Lattice="4.898 0.000 0.000 0.000 5.607 0.000 0.000 0.000 5.816" Properties=species:S:1:pos:R:3 pbc="T T T"
Zr 1.225 0.022 0.810
Zr 1.225 1.402 3.555
Zr 1.225 2.781 0.810
Zr 3.674 2.826 5.006
Zr 3.674 4.205 2.261
Zr 3.674 5.584 5.006
Os 1.225 4.205 3.827
Os 3.674 1.402 1.989
```

- symmetry = Pmmn
- ΔE_f (meV/atom) = -37
- size of the total moment (μB per cell) = 0.00

---

Density functional theory data (PBE) for a geometry-optimized PaP4 structure.

The structure in extended XYZ format:
```
10
Lattice="2.587 -6.741 0.000 2.587 6.741 0.000 -1.276 0.000 5.600" Properties=species:S:1:pos:R:3 pbc="T T T"
Pa 1.630 4.314 4.200
Pa 2.268 -4.314 1.400
P 0.113 2.028 4.417
P 1.310 0.150 1.905
P 0.672 -0.150 4.705
P 0.751 -2.028 1.617
P 3.147 2.028 3.983
P 3.226 0.150 0.895
P 2.588 -0.150 3.695
P 3.785 -2.028 1.183
```

- symmetry = C2/c
- size of the total moment (μB per cell) = 0.05
- raw total energy (hartree per atom) = -0.239

---

Density functional theory data (PBE) for a geometry-optimized PaP2Pd3 structure.

The structure in extended XYZ format:
```
12
Lattice="7.489 -2.076 0.000 7.489 2.076 0.000 -3.604 0.000 6.468" Properties=species:S:1:pos:R:3 pbc="T T T"
Pa 1.988 0.000 0.368
Pa 9.384 0.000 6.100
P 0.316 0.000 4.830
P 4.453 0.000 5.432
P 6.920 0.000 1.036
P 11.057 0.000 1.639
Pd -0.495 0.000 2.366
Pd 2.514 0.000 3.949
Pd 4.693 0.000 2.104
Pd 6.679 0.000 4.364
Pd 8.859 0.000 2.519
Pd 11.868 0.000 4.103
```

- symmetry = C2/m
- size of the total moment (μB per cell) = 0.04
- raw total energy (hartree per atom) = -0.249

---

Density functional theory data (PBE) for a geometry-optimized Pm3PaP4 structure.

The structure in extended XYZ format:
```
8
Lattice="4.082 -5.765 0.000 4.082 5.765 0.000 0.000 0.000 4.083" Properties=species:S:1:pos:R:3 pbc="T T T"
Pm 0.000 0.000 0.000
Pm 2.041 2.883 2.041
Pm 2.041 -2.883 2.041
Pa 4.082 0.000 0.000
P 4.082 2.799 0.000
P 2.128 0.000 2.041
P 6.035 0.000 2.041
P 4.082 -2.799 0.000
```

- symmetry = Cmmm
- size of the total moment (μB per cell) = 0.02
- raw total energy (hartree per atom) = -0.264

---

> Which value of size of the total moment does entry 2 give?

0.01 μB per cell

---

> Number 6 is which compound?

PaP4